Version a
{
  "formula": "Ce2SiP",
  "functional": "PBE",
  "state": "relaxed",
  "dos_ef_per_ev_cell": 19.16,
  "sg": "Cmcm",
  "lattice": [[3.970, 0.000, 0.000], [0.000, 4.190, -0.744], [0.000, -0.095, 11.635]],
  "species": ["Ce", "Ce", "P", "Si", "Ce", "Si", "P", "Ce"],
  "frac_coords": [[0.250, 0.067, 0.134], [0.750, 0.933, 0.866], [0.250, 0.189, 0.379], [0.250, 0.466, 0.932], [0.250, 0.313, 0.627], [0.750, 0.534, 0.068], [0.750, 0.811, 0.621], [0.750, 0.687, 0.373]]
}

Version b
{
  "formula": "Ce2SiP",
  "functional": "PBE",
  "state": "relaxed",
  "dos_ef_per_ev_cell": 5.50,
  "sg": "R-3m",
  "lattice": [[-3.727, 1.698, 0.528], [-3.246, -2.386, 0.909], [-1.037, 0.539, 7.093]],
  "species": ["Si", "Ce", "P", "Ce"],
  "frac_coords": [[0.000, 0.000, 0.000], [0.752, 0.752, 0.743], [0.500, 0.500, 0.500], [0.248, 0.248, 0.257]]
}

Version c
{
  "formula": "Ce2SiP",
  "functional": "PBE",
  "state": "relaxed",
  "dos_ef_per_ev_cell": 6.21,
  "sg": "R3m",
  "lattice": [[-2.716, 2.947, -0.729], [-3.047, -0.642, -2.627], [-5.966, -1.653, 4.164]],
  "species": ["Ce", "Ce", "Si", "P"],
  "frac_coords": [[0.254, 0.254, 0.237], [0.079, 0.079, 0.764], [0.499, 0.499, 0.504], [0.668, 0.668, 0.995]]
}

Stability ranking, top entry: version a; the second entry is 67 meV per atom less favorable.